# PBE-GGA BeZnSbI2, relaxed
data_BeZnSbI2
_chemical_formula_sum 'Be1 Zn1 Sb1 I2'
_cell_length_a 5.387
_cell_length_b 5.387
_cell_length_c 4.943
_cell_angle_alpha 90.00
_cell_angle_beta 90.00
_cell_angle_gamma 90.00
_symmetry_space_group_name_H-M 'P 4/m m m'
_symmetry_Int_Tables_number 123
_symmetry_space_group_name_Hall '-P 4 2'
loop_
_atom_site_label
_atom_site_type_symbol
_atom_site_fract_x
_atom_site_fract_y
_atom_site_fract_z
Be1 Be 0.000 0.000 0.000
Zn1 Zn 0.500 0.500 0.500
Sb1 Sb 0.000 0.000 0.500
I1 I 0.000 0.500 0.000
# Formation energy (no corrections) = 0.4117 eV per atom
# Relative energy among the computed polymorphs = 0 meV per atom
# D(E_F) = 3.1 states/eV/f.u.

---

# PBE-GGA BeZnSbI2, relaxed
data_BeZnSbI2
_chemical_formula_sum 'Be1 Zn1 Sb1 I2'
_cell_length_a 5.573
_cell_length_b 5.573
_cell_length_c 5.342
_cell_angle_alpha 90.00
_cell_angle_beta 90.00
_cell_angle_gamma 90.00
_symmetry_space_group_name_H-M 'P 4/m m m'
_symmetry_Int_Tables_number 123
_symmetry_space_group_name_Hall '-P 4 2'
loop_
_atom_site_label
_atom_site_type_symbol
_atom_site_fract_x
_atom_site_fract_y
_atom_site_fract_z
Be1 Be 0.000 0.000 0.000
Zn1 Zn 0.500 0.500 0.500
Sb1 Sb 0.500 0.500 0.000
I1 I 0.000 0.500 0.500
# Formation energy (no corrections) = 0.8099 eV per atom
# Relative energy among the computed polymorphs = 398 meV per atom
# D(E_F) = 3.6 states/eV/f.u.

---

# PBE-GGA BeZnSbI2, relaxed
data_BeZnSbI2
_chemical_formula_sum 'Be1 Zn1 Sb1 I2'
_cell_length_a 5.372
_cell_length_b 5.372
_cell_length_c 4.561
_cell_angle_alpha 90.00
_cell_angle_beta 90.00
_cell_angle_gamma 90.00
_symmetry_space_group_name_H-M 'P 4/m m m'
_symmetry_Int_Tables_number 123
_symmetry_space_group_name_Hall '-P 4 2'
loop_
_atom_site_label
_atom_site_type_symbol
_atom_site_fract_x
_atom_site_fract_y
_atom_site_fract_z
Be1 Be 0.000 0.000 0.000
Zn1 Zn 0.000 0.000 0.500
Sb1 Sb 0.500 0.500 0.500
I1 I 0.000 0.500 0.000
# Formation energy (no corrections) = 0.4678 eV per atom
# Relative energy among the computed polymorphs = 56 meV per atom
# D(E_F) = 3.7 states/eV/f.u.

---

# PBE-GGA ZrBeSbI2, relaxed
data_ZrBeSbI2
_chemical_formula_sum 'Zr1 Be1 Sb1 I2'
_cell_length_a 5.700
_cell_length_b 5.700
_cell_length_c 5.731
_cell_angle_alpha 90.00
_cell_angle_beta 90.00
_cell_angle_gamma 90.00
_symmetry_space_group_name_H-M 'P 4/m m m'
_symmetry_Int_Tables_number 123
_symmetry_space_group_name_Hall '-P 4 2'
loop_
_atom_site_label
_atom_site_type_symbol
_atom_site_fract_x
_atom_site_fract_y
_atom_site_fract_z
Zr1 Zr 0.000 0.000 0.000
Be1 Be 0.500 0.500 0.500
Sb1 Sb 0.000 0.000 0.500
I1 I 0.000 0.500 0.000
# Formation energy (no corrections) = 0.4635 eV per atom
# Relative energy among the computed polymorphs = 0 meV per atom
# D(E_F) = 4.3 states/eV/f.u.

---

Question: Which formula does entry 3 have?
Answer: BeZnSbI2

---

Repeat the second record exactly.
# PBE-GGA BeZnSbI2, relaxed
data_BeZnSbI2
_chemical_formula_sum 'Be1 Zn1 Sb1 I2'
_cell_length_a 5.573
_cell_length_b 5.573
_cell_length_c 5.342
_cell_angle_alpha 90.00
_cell_angle_beta 90.00
_cell_angle_gamma 90.00
_symmetry_space_group_name_H-M 'P 4/m m m'
_symmetry_Int_Tables_number 123
_symmetry_space_group_name_Hall '-P 4 2'
loop_
_atom_site_label
_atom_site_type_symbol
_atom_site_fract_x
_atom_site_fract_y
_atom_site_fract_z
Be1 Be 0.000 0.000 0.000
Zn1 Zn 0.500 0.500 0.500
Sb1 Sb 0.500 0.500 0.000
I1 I 0.000 0.500 0.500
# Formation energy (no corrections) = 0.8099 eV per atom
# Relative energy among the computed polymorphs = 398 meV per atom
# D(E_F) = 3.6 states/eV/f.u.

---

Question: D(E_F) of number 4 (ZrBeSbI2)?
Answer: 4.3 states/eV/f.u.